[1]
Density functional theory data (PBE) for crystalline TmPu2ScTe4 at its relaxed geometry.

Lattice parameters (Å, degrees): 4.3031 7.4382 7.6034 109.11 90.00 90.00
Closest atoms and distances in Å follow each position.
Element x y z (fractional)
1 Tm 0.5000 0.5000 0.0000  6 Te 3.03
2 Pu 0.5000 0.0000 0.5000  6 Te 3.10-3.11
3 Pu 0.0000 0.5000 0.5000  6 Te 3.15
4 Sc 0.0000 0.0000 0.0000  6 Te 2.98
5 Te 0.5000 0.2401 0.2341  2 Sc 2.98, 1 Tm 3.03, 3 Pu 3.11-3.15
6 Te 0.5000 0.7599 0.7659  2 Sc 2.98, 1 Tm 3.03, 3 Pu 3.11-3.15
7 Te 0.0000 0.2495 0.7627  1 Sc 2.98, 2 Tm 3.03, 3 Pu 3.10-3.15
8 Te 0.0000 0.7505 0.2373  1 Sc 2.98, 2 Tm 3.03, 3 Pu 3.10-3.15

As for the space-group type: P2/m. Its crystal system is monoclinic. The formation energy from raw total energies comes out at -1135 meV/atom.

***

[2]
Density functional theory data (PBE) for crystalline Nd5DyTl8 at its relaxed geometry.

Lattice parameters (Å, degrees): 8.2096 8.2096 8.2096 109.08 110.25 109.08
Closest atoms and distances in Å follow each position.
Element x y z (fractional)
1 Nd 0.9931 0.3636 0.1171  8 Tl 3.25-3.36
2 Nd 0.8829 0.8760 0.2465  8 Tl 3.25-3.36
3 Nd 0.7535 0.6364 0.6295  8 Tl 3.25-3.36
4 Nd 0.5000 0.0000 0.5000  8 Tl 3.28-3.30
5 Nd 0.3705 0.1240 0.0069  8 Tl 3.25-3.36
6 Dy 0.2500 0.5000 0.7500  8 Tl 3.20-3.21
7 Tl 0.1247 0.7362 0.0336  1 Dy 3.20, 5 Nd 3.25-3.30, 1 Tl 3.41
8 Tl 0.9664 0.0911 0.7026  1 Dy 3.20, 5 Nd 3.25-3.30, 1 Tl 3.41
9 Tl 0.7969 0.2571 0.3861  1 Dy 3.21, 5 Nd 3.28-3.36, 2 Tl 3.41-3.49
10 Tl 0.6139 0.4108 0.8710  1 Dy 3.21, 5 Nd 3.28-3.36, 2 Tl 3.41-3.49
11 Tl 0.4602 0.5892 0.2031  1 Dy 3.21, 5 Nd 3.28-3.36, 2 Tl 3.41-3.49
12 Tl 0.6115 0.9089 0.8753  1 Dy 3.20, 5 Nd 3.25-3.30, 1 Tl 3.41
13 Tl 0.2974 0.2638 0.3885  1 Dy 3.20, 5 Nd 3.25-3.30, 1 Tl 3.41
14 Tl 0.1290 0.7429 0.5398  1 Dy 3.21, 5 Nd 3.28-3.36, 2 Tl 3.41-3.49

As for the space-group type: I-4. For the energy of formation, the calculation gives -0.29 eV per atom. Its crystal system is tetragonal.

***

[3]
Density functional theory data (PBE) for crystalline AgMoBr2 at its relaxed geometry.

Lattice parameters (Å, degrees): 5.1177 5.1177 5.1177 60.00 60.00 60.00
Closest atoms and distances in Å follow each position.
Element x y z (fractional)
1 Mo 0.2500 0.2500 0.2500  4 Br 3.13, 4 Ag 3.13
2 Br 0.0000 0.0000 0.0000  4 Br 3.13, 4 Mo 3.13
3 Br 0.7500 0.7500 0.7500  4 Ag 3.13, 4 Br 3.13
4 Ag 0.5000 0.5000 0.5000  4 Mo 3.13, 4 Br 3.13

As for the space-group type: F-43m. The calculation puts the energy relative to the lowest polymorph listed for this composition at 282.8 kJ/mol of formula units. Its crystal system is cubic. The formation energy from raw total energies comes out at 877 meV/atom.

***

[4]
Density functional theory data (PBE) for crystalline Tb8GeSb5 at its relaxed geometry.

Lattice parameters (Å, degrees): 7.9527 7.9527 7.9527 109.80 108.81 109.80
Closest atoms and distances in Å follow each position.
Element x y z (fractional)
1 Tb 0.1268 0.7372 0.0068  1 Ge 2.94, 2 Sb 3.06-3.10
2 Tb 0.9932 0.1200 0.7304  1 Ge 2.94, 2 Sb 3.06-3.10
3 Tb 0.7767 0.2538 0.3815  5 Sb 3.07-3.33, 1 Ge 3.25
4 Tb 0.6185 0.3952 0.8722  5 Sb 3.07-3.33, 1 Ge 3.25
5 Tb 0.4771 0.6048 0.2233  5 Sb 3.07-3.33, 1 Ge 3.25
6 Tb 0.6104 0.8800 0.8732  1 Ge 2.94, 2 Sb 3.06-3.10
7 Tb 0.2696 0.2628 0.3896  1 Ge 2.94, 2 Sb 3.06-3.10
8 Tb 0.1278 0.7462 0.5229  5 Sb 3.07-3.33, 1 Ge 3.25
9 Ge 0.2500 0.5000 0.7500  8 Tb 2.94-3.25
10 Sb 0.9922 0.3685 0.1202  8 Tb 3.06-3.34
11 Sb 0.8798 0.8721 0.2484  8 Tb 3.06-3.34
12 Sb 0.7516 0.6315 0.6237  8 Tb 3.06-3.34
13 Sb 0.5000 0.0000 0.5000  8 Tb 3.07-3.36
14 Sb 0.3763 0.1279 0.0078  8 Tb 3.06-3.34

As for the space-group type: I-4. Its crystal system is tetragonal. The formation energy from raw total energies comes out at -983 meV/atom.

***

[5]
Density functional theory data (PBE) for crystalline Ta3Pt2 at its relaxed geometry.

Lattice parameters (Å, degrees): 4.4368 4.4368 5.5465 90.00 90.00 120.00
Closest atoms and distances in Å follow each position.
Element x y z (fractional)
1 Ta 0.0000 0.0000 0.0000  6 Pt 2.68
2 Ta 0.6667 0.3333 0.6298  5 Pt 2.72-2.86, 3 Ta 2.94
3 Ta 0.3333 0.6667 0.3702  5 Pt 2.72-2.86, 3 Ta 2.94
4 Pt 0.6667 0.3333 0.1392  8 Ta 2.68-2.86, 3 Pt 2.99
5 Pt 0.3333 0.6667 0.8608  8 Ta 2.68-2.86, 3 Pt 2.99

As for the space-group type: P-3m1. The calculation puts the energy relative to the lowest polymorph listed for this composition at 213.6 kJ/mol of formula units. For the energy of formation, the calculation gives -0.03 eV per atom. Its crystal system is trigonal.

***

[6]
Density functional theory data (PBE) for crystalline Tb3PmDy5 at its relaxed geometry.

Lattice parameters (Å, degrees): 6.2024 9.1778 11.2258 89.65 90.00 109.75
Closest atoms and distances in Å follow each position.
Element x y z (fractional)
1 Tb 0.0000 0.0000 0.0000  2 Pm 2.90
2 Tb 0.4430 0.3301 0.4151  5 Dy 3.37-3.71, 2 Tb 3.46-3.53, 1 Pm 3.55
3 Tb 0.0000 0.0000 0.5000  2 Pm 2.90
4 Tb 0.5570 0.6699 0.5849  5 Dy 3.37-3.71, 2 Tb 3.46-3.53, 1 Pm 3.55
5 Tb 0.8871 0.3301 0.9151  5 Dy 3.37-3.71, 2 Tb 3.46-3.53, 1 Pm 3.55
6 Tb 0.1129 0.6699 0.0849  5 Dy 3.37-3.71, 2 Tb 3.46-3.53, 1 Pm 3.55
7 Pm 0.8821 0.0000 0.7500  2 Tb 2.90, 1 Dy 2.93
8 Pm 0.1179 0.0000 0.2500  2 Tb 2.90, 1 Dy 2.93
9 Dy 0.4094 0.0000 0.7500  2 Pm 2.93-3.27, 2 Dy 3.23
10 Dy 0.5596 0.6697 0.9137  4 Dy 3.37-3.73, 3 Tb 3.37-3.69, 1 Pm 3.52
11 Dy 0.9692 0.3437 0.2511  3 Dy 3.23-3.50, 2 Tb 3.37-3.51, 1 Pm 3.57
12 Dy 0.4404 0.3303 0.0863  4 Dy 3.37-3.73, 3 Tb 3.37-3.69, 1 Pm 3.52
13 Dy 0.6255 0.6563 0.2489  3 Dy 3.23-3.50, 2 Tb 3.37-3.51, 1 Pm 3.57
14 Dy 0.5906 0.0000 0.2500  2 Pm 2.93-3.27, 2 Dy 3.23
15 Dy 0.1101 0.6697 0.4137  4 Dy 3.37-3.73, 3 Tb 3.37-3.69, 1 Pm 3.52
16 Dy 0.8899 0.3303 0.5863  4 Dy 3.37-3.73, 3 Tb 3.37-3.69, 1 Pm 3.52
17 Dy 0.3745 0.3437 0.7511  3 Dy 3.23-3.50, 2 Tb 3.37-3.51, 1 Pm 3.57
18 Dy 0.0308 0.6563 0.7489  3 Dy 3.23-3.50, 2 Tb 3.37-3.51, 1 Pm 3.57

As for the space-group type: C2/c. The calculation puts the energy relative to the lowest polymorph listed for this composition at 0.0 kJ/mol of formula units. For the energy of formation, the calculation gives 0.32 eV per atom. Its crystal system is monoclinic.

***

For each record above, in turn, the calculated magnetic moment values are 12.09 0.00 4.89 0.00 0.00 0.00 μB/cell.
For each record above, in turn, the calculated ρ values are 8754 9821 6371 8376 16385 7920 kg/m3.
For each record above, in turn, the calculated Fermi-level density of states values are 21.54 12.89 2.03 14.27 4.90 27.11 states/eV/cell.